Record 1
Density functional theory data (PBE-GGA) for a geometry-optimized TaBe2Mo structure.

Lattice parameters (Å, degrees): 5.8789 5.8789 5.8789 90.00 90.00 90.00
Space group Fm-3m (No. 225)
One atom of each set of equivalent atoms:
Ta 0.0000 0.0000 0.0000 [4 per cell]
Be 0.2500 0.2500 0.2500 [8 per cell]
Mo 0.0000 0.0000 0.5000 [4 per cell]

Computed properties:
E_form = 0.1118 eV per atom
total energy = -29.7 eV per formula unit
relative energy among the computed polymorphs = 0.347 eV/atom
DOS(E_F) = 9.38 states/eV/cell

***

Record 2
Density functional theory data (PBE-GGA) for a geometry-optimized TaBe2Mo structure.

Lattice parameters (Å, degrees): 2.7580 2.7580 25.4388 90.00 90.00 120.00
Space group R-3m (No. 166, hexagonal axes)
One atom of each set of equivalent atoms:
Ta 0.0000 0.0000 0.0000 [3 per cell]
Be 0.0000 0.0000 0.2463 [6 per cell]
Mo 0.0000 0.0000 0.5000 [3 per cell]

Computed properties:
E_form = 0.3936 eV per atom
total energy = -28.6 eV per formula unit
relative energy among the computed polymorphs = 0.629 eV/atom
DOS(E_F) = 12.00 states/eV/cell

***

Record 3
Density functional theory data (PBE-GGA) for a geometry-optimized TaBeMo structure.

Lattice parameters (Å, degrees): 3.4725 4.2213 11.7606 90.00 90.00 90.00
Space group Fmm2 (No. 42)
One atom of each set of equivalent atoms:
Ta 0.0000 0.0000 0.0000 [4 per cell]
Be 0.0000 0.0000 0.6555 [4 per cell]
Mo 0.0000 0.0000 0.3005 [4 per cell]

Computed properties:
E_form = 0.0594 eV per atom
total energy = -26.2 eV per formula unit
relative energy among the computed polymorphs = 0.231 eV/atom
DOS(E_F) = 6.35 states/eV/cell

***

Q: The lowest total energy belongs to which entry?
A: number 1

***

Q: What is the relative energy among the computed polymorphs in the second record?
A: 0.629 eV/atom